1:
This record from Alexandria via LeMat-Bulk describes MnTe3Au after structural relaxation. The functional is PBE.

Unit cell a=6.268 b=7.547 c=6.417 alpha=90.00 beta=117.89 gamma=90.00
Atoms (fractional coordinates):
Mn 0.008 0.250 0.063
Mn 0.992 0.750 0.937
Te 0.042 0.750 0.566
Te 0.331 0.512 0.197
Te 0.331 0.988 0.197
Te 0.669 0.012 0.803
Te 0.669 0.488 0.803
Te 0.958 0.250 0.434
Au 0.336 0.250 0.877
Au 0.664 0.750 0.123

Results
space-group type	No. 11
volume	26.83	A^3/atom


2:
This record from Alexandria via LeMat-Bulk describes MnTe3Au after structural relaxation. The functional is PBE.

Unit cell a=5.008 b=5.008 c=5.008 alpha=90.00 beta=90.00 gamma=90.00
Atoms (fractional coordinates):
Mn 0.000 0.000 0.000
Te 0.000 0.000 0.500
Te 0.000 0.500 0.000
Te 0.500 0.000 0.000
Au 0.500 0.500 0.500

Results
space-group type	No. 221
volume	25.12	A^3/atom


Least stable = 2


1:
This record from Alexandria via LeMat-Bulk describes MnTe4Au after structural relaxation. The functional is PBE.

Unit cell a=5.540 b=4.040 c=7.484 alpha=90.00 beta=90.27 gamma=90.00
Atoms (fractional coordinates):
Mn 0.000 0.000 0.000
Te 0.220 0.000 0.314
Te 0.288 0.500 0.882
Te 0.712 0.500 0.118
Te 0.780 0.000 0.686
Au 0.000 0.500 0.500

Results
space-group type	No. 10
volume	27.91	A^3/atom


2:
This record from Alexandria via LeMat-Bulk describes MnTe4Au after structural relaxation. The functional is PBE.

Unit cell a=6.870 b=6.870 c=7.241 alpha=121.11 beta=121.11 gamma=33.93
Atoms (fractional coordinates):
Mn 0.000 0.000 0.000
Te 0.146 0.146 0.848
Te 0.378 0.378 0.708
Te 0.622 0.622 0.292
Te 0.854 0.854 0.152
Au 0.500 0.500 0.500

Results
space-group type	No. 12
volume	26.76	A^3/atom


3:
This record from Alexandria via LeMat-Bulk describes MnTe4Au after structural relaxation. The functional is PBE.

Unit cell a=6.276 b=6.276 c=6.276 alpha=60.00 beta=60.00 gamma=60.00
Atoms (fractional coordinates):
Mn 0.000 0.000 0.000
Te 0.127 0.624 0.624
Te 0.624 0.127 0.624
Te 0.624 0.624 0.127
Te 0.624 0.624 0.624
Au 0.250 0.250 0.250

Results
space-group type	No. 216
volume	29.13	A^3/atom


Least stable = 3


1:
This record from Alexandria via LeMat-Bulk describes MnTeAu after structural relaxation. The functional is PBE.

Unit cell a=3.888 b=3.888 c=5.121 alpha=90.00 beta=90.00 gamma=120.00
Atoms (fractional coordinates):
Mn 0.000 0.000 0.000
Te 0.333 0.667 0.315
Au 0.667 0.333 0.709

Results
space-group type	No. 156
volume	22.34	A^3/atom


2:
This record from Alexandria via LeMat-Bulk describes MnTeAu after structural relaxation. The functional is PBE.

Unit cell a=5.551 b=5.551 c=5.551 alpha=143.18 beta=143.18 gamma=53.05
Atoms (fractional coordinates):
Mn 0.000 0.000 0.000
Te 0.344 0.344 0.000
Au 0.642 0.642 0.000

Results
space-group type	No. 107
volume	20.36	A^3/atom


Least stable = 2


1:
This record from Alexandria via LeMat-Bulk describes Ti3MnAu after structural relaxation. The functional is PBE.

Unit cell a=4.820 b=4.820 c=4.820 alpha=90.00 beta=90.00 gamma=90.00
Atoms (fractional coordinates):
Ti 0.000 0.000 0.500
Ti 0.000 0.500 0.000
Ti 0.500 0.000 0.000
Mn 0.500 0.500 0.500
Au 0.000 0.000 0.000

Results
space-group type	No. 221
volume	22.40	A^3/atom


2:
This record from Alexandria via LeMat-Bulk describes Ti3MnAu after structural relaxation. The functional is PBE.

Unit cell a=4.469 b=4.469 c=4.469 alpha=90.00 beta=90.00 gamma=90.00
Atoms (fractional coordinates):
Ti 0.000 0.000 0.500
Ti 0.000 0.500 0.000
Ti 0.500 0.000 0.000
Mn 0.000 0.000 0.000
Au 0.500 0.500 0.500

Results
space-group type	No. 221
volume	17.85	A^3/atom


Least stable = 1


1:
This record from Alexandria via LeMat-Bulk describes MnTlAu4 after structural relaxation. The functional is PBE.

Unit cell a=3.464 b=3.476 c=9.673 alpha=90.00 beta=90.00 gamma=90.00
Atoms (fractional coordinates):
Mn 0.000 0.000 0.000
Tl 0.500 0.500 0.500
Au 0.000 0.000 0.298
Au 0.000 0.000 0.702
Au 0.500 0.500 0.144
Au 0.500 0.500 0.856

Results
space-group type	No. 47
volume	19.41	A^3/atom


2:
This record from Alexandria via LeMat-Bulk describes MnTlAu4 after structural relaxation. The functional is PBE.

Unit cell a=5.582 b=5.582 c=5.582 alpha=60.00 beta=60.00 gamma=60.00
Atoms (fractional coordinates):
Mn 0.000 0.000 0.000
Tl 0.750 0.750 0.750
Au 0.375 0.375 0.375
Au 0.375 0.375 0.876
Au 0.375 0.876 0.375
Au 0.876 0.375 0.375

Results
space-group type	No. 216
volume	20.49	A^3/atom


Least stable = 2


1:
This record from Alexandria via LeMat-Bulk describes Mn2VAu2 after structural relaxation. The functional is PBE.

Unit cell a=6.255 b=6.255 c=6.255 alpha=144.57 beta=144.57 gamma=50.98
Atoms (fractional coordinates):
Mn 0.086 0.086 0.000
Mn 0.914 0.914 0.000
V 0.500 0.500 0.000
Au 0.250 0.750 0.500
Au 0.750 0.250 0.500

Results
space-group type	No. 139
volume	16.36	A^3/atom


2:
This record from Alexandria via LeMat-Bulk describes Mn2VAu2 after structural relaxation. The functional is PBE.

Unit cell a=6.671 b=6.671 c=3.692 alpha=90.00 beta=90.00 gamma=90.00
Atoms (fractional coordinates):
Mn 0.146 0.354 0.000
Mn 0.354 0.854 0.000
Mn 0.646 0.146 0.000
Mn 0.854 0.646 0.000
V 0.000 0.000 0.000
V 0.500 0.500 0.000
Au 0.156 0.656 0.500
Au 0.344 0.156 0.500
Au 0.656 0.844 0.500
Au 0.844 0.344 0.500

Results
space-group type	No. 127
volume	16.43	A^3/atom


Least stable = 1


1:
This record from Alexandria via LeMat-Bulk describes YMnAu3 after structural relaxation. The functional is PBE.

Unit cell a=5.389 b=5.389 c=5.389 alpha=90.00 beta=90.00 gamma=90.00
Atoms (fractional coordinates):
Y 0.000 0.000 0.000
Mn 0.500 0.500 0.500
Au 0.000 0.000 0.500
Au 0.000 0.500 0.000
Au 0.500 0.000 0.000

Results
space-group type	No. 221
volume	31.30	A^3/atom


2:
This record from Alexandria via LeMat-Bulk describes YMnAu3 after structural relaxation. The functional is PBE.

Unit cell a=4.898 b=4.898 c=4.898 alpha=90.00 beta=90.00 gamma=90.00
Atoms (fractional coordinates):
Y 0.000 0.000 0.000
Mn 0.500 0.500 0.500
Au 0.000 0.500 0.500
Au 0.500 0.000 0.500
Au 0.500 0.500 0.000

Results
space-group type	No. 221
volume	23.50	A^3/atom


Least stable = 1


1:
This record from Alexandria via LeMat-Bulk describes YMn3Au after structural relaxation. The functional is PBE.

Unit cell a=4.930 b=4.930 c=4.930 alpha=90.00 beta=90.00 gamma=90.00
Atoms (fractional coordinates):
Y 0.000 0.000 0.000
Mn 0.000 0.500 0.500
Mn 0.500 0.000 0.500
Mn 0.500 0.500 0.000
Au 0.500 0.500 0.500

Results
space-group type	No. 221
volume	23.96	A^3/atom


2:
This record from Alexandria via LeMat-Bulk describes YMn3Au after structural relaxation. The functional is PBE.

Unit cell a=4.826 b=4.826 c=4.826 alpha=90.00 beta=90.00 gamma=90.00
Atoms (fractional coordinates):
Y 0.000 0.000 0.000
Mn 0.000 0.000 0.500
Mn 0.000 0.500 0.000
Mn 0.500 0.000 0.000
Au 0.500 0.500 0.500

Results
space-group type	No. 221
volume	22.48	A^3/atom


Least stable = 2